Record 1
Computed, not measured: crystalline KLaW2 at its relaxed geometry at the PBE-GGA level of DFT.

For the magnetization, the calculation gives 0.00 μB per formula unit. The symmetry is Imm2, No. 44. Its density of states at the Fermi level is 1.04 states/eV/atom. As for the formation enthalpy at 0 K: 1066 meV/atom.

Lattice parameters (Å, degrees): 7.5613 7.5613 7.5613 153.07 139.49 49.32
Fractional coordinates of all 4 atoms:
K: 0.0000 0.0000 0.0000
La: 0.7319 0.2319 0.5000
W: 0.2455 0.7455 0.5000
W: 0.3675 0.3675 0.0000

Record 2
Computed, not measured: crystalline KLa3W at its relaxed geometry at the PBE-GGA level of DFT.

For the magnetization, the calculation gives 0.00 μB per formula unit. The symmetry is Pm-3m, No. 221. Its density of states at the Fermi level is 1.98 states/eV/atom. As for the formation enthalpy at 0 K: 1958 meV/atom.

Lattice parameters (Å, degrees): 5.3595 5.3595 5.3595 90.00 90.00 90.00
Fractional coordinates of all 5 atoms:
K: 0.0000 0.0000 0.0000
La: 0.0000 0.0000 0.5000
La: 0.0000 0.5000 0.0000
La: 0.5000 0.0000 0.0000
W: 0.5000 0.5000 0.5000

Record 3
Computed, not measured: crystalline KLa2W at its relaxed geometry at the PBE-GGA level of DFT.

For the magnetization, the calculation gives 0.18 μB per formula unit. The symmetry is P4/mmm, No. 123. Its density of states at the Fermi level is 1.60 states/eV/atom. As for the formation enthalpy at 0 K: 1079 meV/atom.

Lattice parameters (Å, degrees): 5.3038 5.3038 4.1044 90.00 90.00 90.00
Fractional coordinates of all 4 atoms:
K: 0.0000 0.0000 0.0000
La: 0.0000 0.5000 0.5000
La: 0.5000 0.0000 0.5000
W: 0.5000 0.5000 0.0000

Record 4
Computed, not measured: crystalline KLaW2 at its relaxed geometry at the PBE-GGA level of DFT.

For the magnetization, the calculation gives 0.00 μB per formula unit. The symmetry is Pmmm, No. 47. Its density of states at the Fermi level is 0.90 states/eV/atom. As for the formation enthalpy at 0 K: 1403 meV/atom.

Lattice parameters (Å, degrees): 3.9490 3.9996 5.5296 90.00 90.00 90.00
Fractional coordinates of all 4 atoms:
K: 0.0000 0.0000 0.0000
La: 0.5000 0.5000 0.0000
W: 0.0000 0.5000 0.5000
W: 0.5000 0.0000 0.5000

Record 5
Computed, not measured: crystalline KLa2W at its relaxed geometry at the PBE-GGA level of DFT.

For the magnetization, the calculation gives 1.13 μB per formula unit. The symmetry is R3m, No. 160. Its density of states at the Fermi level is 0.75 states/eV/atom. As for the formation enthalpy at 0 K: 986 meV/atom.

Lattice parameters (Å, degrees): 12.1459 12.1459 12.1459 16.54 16.54 16.54
Fractional coordinates of all 4 atoms:
K: 0.0000 0.0000 0.0000
La: 0.5268 0.5268 0.5268
La: 0.7745 0.7745 0.7745
W: 0.2524 0.2524 0.2524

Record 6
Computed, not measured: crystalline KLaW2 at its relaxed geometry at the PBE-GGA level of DFT.

For the magnetization, the calculation gives 0.41 μB per formula unit. The symmetry is R-3m, No. 166. Its density of states at the Fermi level is 1.55 states/eV/atom. As for the formation enthalpy at 0 K: 1365 meV/atom.

Lattice parameters (Å, degrees): 12.1547 12.1547 12.1547 13.90 13.90 13.90
Fractional coordinates of all 4 atoms:
K: 0.0000 0.0000 0.0000
La: 0.5000 0.5000 0.5000
W: 0.2468 0.2468 0.2468
W: 0.7532 0.7532 0.7532

Record 7
Computed, not measured: crystalline KLaW2 at its relaxed geometry at the PBE-GGA level of DFT.

For the magnetization, the calculation gives 0.00 μB per formula unit. The symmetry is Cmmm, No. 65. Its density of states at the Fermi level is 1.05 states/eV/atom. As for the formation enthalpy at 0 K: 1286 meV/atom.

Lattice parameters (Å, degrees): 2.8743 2.8743 11.9492 90.00 90.00 115.10
Fractional coordinates of all 4 atoms:
K: 0.0000 0.0000 0.0000
La: 0.0000 0.0000 0.5000
W: 0.5000 0.5000 0.2615
W: 0.5000 0.5000 0.7385

Record 8
Computed, not measured: crystalline KLaW at its relaxed geometry at the PBE-GGA level of DFT.

For the magnetization, the calculation gives 0.00 μB per formula unit. The symmetry is Fmm2, No. 42. Its density of states at the Fermi level is 0.86 states/eV/atom. As for the formation enthalpy at 0 K: 1091 meV/atom.

Lattice parameters (Å, degrees): 9.3960 9.1979 3.2026 83.59 76.61 19.80
Fractional coordinates of all 3 atoms:
K: 0.0000 0.0000 0.0000
La: 0.2819 0.2819 0.7181
W: 0.6610 0.6610 0.3390